No. 1
# Ca8Tl2Pd PBE relaxed
data_Ca8Tl2Pd
_symmetry_space_group_name_H-M 'P 1'
_symmetry_Int_Tables_number 1
_cell_length_a 5.3228
_cell_length_b 8.9902
_cell_length_c 9.0095
_cell_angle_alpha 119.93
_cell_angle_beta 107.18
_cell_angle_gamma 90.00
loop_
_symmetry_equiv_pos_as_xyz
'x,y,z'
loop_
_atom_site_label
_atom_site_type_symbol
_atom_site_fract_x
_atom_site_fract_y
_atom_site_fract_z
Ca1 Ca 0.6557 0.8791 0.3114
Ca2 Ca 0.3443 0.5677 0.6886
Ca3 Ca 0.1288 0.1288 0.2577
Ca4 Ca 0.0000 0.3208 0.0000
Ca5 Ca 0.8712 0.8712 0.7423
Ca6 Ca 0.6557 0.4323 0.3114
Ca7 Ca 0.3443 0.1209 0.6886
Ca8 Ca 0.0000 0.6792 0.0000
Tl1 Tl 0.1950 0.6950 0.3899
Tl2 Tl 0.8050 0.3050 0.6101
Pd1 Pd 0.5000 0.0000 0.0000
# - E above lowest polymorph (meV/atom) = 89
# - energy of formation (eV per atom) = -0.2378
# - crystal system = orthorhombic
# - space group = Immm, No. 71

No. 2
# CaTmTlPd PBE relaxed
data_CaTmTlPd
_symmetry_space_group_name_H-M 'P 1'
_symmetry_Int_Tables_number 1
_cell_length_a 5.1557
_cell_length_b 5.1557
_cell_length_c 5.1557
_cell_angle_alpha 60.00
_cell_angle_beta 60.00
_cell_angle_gamma 60.00
loop_
_symmetry_equiv_pos_as_xyz
'x,y,z'
loop_
_atom_site_label
_atom_site_type_symbol
_atom_site_fract_x
_atom_site_fract_y
_atom_site_fract_z
Tl1 Tl 0.0000 0.0000 0.0000
Tm1 Tm 0.2500 0.2500 0.2500
Ca1 Ca 0.7500 0.7500 0.7500
Pd1 Pd 0.5000 0.5000 0.5000
# - energy of formation (eV per atom) = -0.5138
# - crystal system = cubic
# - space group = F-43m, No. 216

No. 3
# CaYTlPd PBE relaxed
data_CaYTlPd
_symmetry_space_group_name_H-M 'P 1'
_symmetry_Int_Tables_number 1
_cell_length_a 5.1987
_cell_length_b 5.1987
_cell_length_c 5.1987
_cell_angle_alpha 60.00
_cell_angle_beta 60.00
_cell_angle_gamma 60.00
loop_
_symmetry_equiv_pos_as_xyz
'x,y,z'
loop_
_atom_site_label
_atom_site_type_symbol
_atom_site_fract_x
_atom_site_fract_y
_atom_site_fract_z
Y1 Y 0.7500 0.7500 0.7500
Tl1 Tl 0.0000 0.0000 0.0000
Ca1 Ca 0.2500 0.2500 0.2500
Pd1 Pd 0.5000 0.5000 0.5000
# - energy of formation (eV per atom) = -0.5286
# - crystal system = cubic
# - space group = F-43m, No. 216

Q: Which of these has the highest energy of formation?
A: Ca8Tl2Pd

What did the second record say?
# CaTmTlPd PBE relaxed
data_CaTmTlPd
_symmetry_space_group_name_H-M 'P 1'
_symmetry_Int_Tables_number 1
_cell_length_a 5.1557
_cell_length_b 5.1557
_cell_length_c 5.1557
_cell_angle_alpha 60.00
_cell_angle_beta 60.00
_cell_angle_gamma 60.00
loop_
_symmetry_equiv_pos_as_xyz
'x,y,z'
loop_
_atom_site_label
_atom_site_type_symbol
_atom_site_fract_x
_atom_site_fract_y
_atom_site_fract_z
Tl1 Tl 0.0000 0.0000 0.0000
Tm1 Tm 0.2500 0.2500 0.2500
Ca1 Ca 0.7500 0.7500 0.7500
Pd1 Pd 0.5000 0.5000 0.5000
# - energy of formation (eV per atom) = -0.5138
# - crystal system = cubic
# - space group = F-43m, No. 216

Q: Among the records above, which one has the lowest energy of formation?
A: CaYTlPd